This record from the Alexandria database describes a relaxed structure of Mg2TaAs. The functional is GGA-PBE.

Properties
* V: 18.95 Å³/atom
* calculated total energy: -4.843 eV/atom
* DFT formation energy: 0.08 eV/atom
* symmetry: Cm, No. 8

```
Mg2TaAs
1.0
-0.0478 -4.3922 -2.6930
2.6830 -3.5255 -2.6304
0.9029 -3.1517 4.2492
As Mg Ta
1 2 1
Direct
0.7575 0.7575 0.7141
0.9974 0.9974 0.0163
0.2462 0.2462 0.2501
0.4990 0.4990 0.5194
```

---

This record from the Alexandria database describes a relaxed structure of Rb2LaCrCo. The functional is GGA-PBE.

Properties
* V: 47.20 Å³/atom
* calculated total energy: -3.547 eV/atom
* DFT formation energy: 1.17 eV/atom
* symmetry: P4/mmm, No. 123

```
Rb2LaCrCo
1.0
-3.2583 6.4617 -0.8109
-4.8686 -3.0192 -4.4954
-2.6432 -0.8979 3.4657
Cr Co Rb La
1 1 2 1
Direct
0.5000 0.5000 0.5000
0.0000 0.0000 0.5000
0.0000 0.5000 0.0000
0.5000 0.0000 0.0000
0.0000 0.0000 0.0000
```

---

This record from the Alexandria database describes a relaxed structure of SiSbP2Cl. The functional is GGA-PBE.

Properties
* V: 26.29 Å³/atom
* calculated total energy: -3.433 eV/atom
* formation energy from raw total energies: 23.3 kcal/mol of atoms
* distance to the lowest polymorph of the same formula: 629 meV per atom
* symmetry: P4/mmm, No. 123

```
SiSbP2Cl
1.0
-4.8029 1.2932 1.1714
0.9152 -1.0536 4.9158
1.4632 4.7574 0.7472
Sb Si P Cl
1 1 2 1
Direct
0.0000 0.0000 0.0000
0.5000 0.5000 0.5000
0.0000 0.5000 0.0000
0.5000 0.0000 0.0000
0.0000 0.0000 0.5000
```

---

This record from the Alexandria database describes a relaxed structure of Pm4HgBi. The functional is GGA-PBE.

Properties
* V: 31.18 Å³/atom
* calculated total energy: -4.264 eV/atom
* DFT formation energy: -0.40 eV/atom
* symmetry: C2/c, No. 15

```
Pm4HgBi
1.0
6.3127 -0.5725 0.0000
-2.3389 8.5730 0.0000
-1.9869 -4.0002 7.0888
Pm Hg Bi
8 2 2
Direct
0.0781 0.2121 0.8194
0.7662 0.7073 0.6193
0.2412 0.6073 0.8194
0.3531 0.9120 0.6193
0.6469 0.0880 0.3807
0.7588 0.3927 0.1806
0.2338 0.2927 0.3807
0.9219 0.7879 0.1806
0.2518 0.0018 0.0036
0.7482 0.9982 0.9964
0.3640 0.6140 0.2280
0.6360 0.3860 0.7720
```

---

Copy entry 3 word for word.
This record from the Alexandria database describes a relaxed structure of SiSbP2Cl. The functional is GGA-PBE.

Properties
* V: 26.29 Å³/atom
* calculated total energy: -3.433 eV/atom
* formation energy from raw total energies: 23.3 kcal/mol of atoms
* distance to the lowest polymorph of the same formula: 629 meV per atom
* symmetry: P4/mmm, No. 123

```
SiSbP2Cl
1.0
-4.8029 1.2932 1.1714
0.9152 -1.0536 4.9158
1.4632 4.7574 0.7472
Sb Si P Cl
1 1 2 1
Direct
0.0000 0.0000 0.0000
0.5000 0.5000 0.5000
0.0000 0.5000 0.0000
0.5000 0.0000 0.0000
0.0000 0.0000 0.5000
```

---

What is the V in the fourth record? 31.18 Å³/atom

---

V of number 3 (SiSbP2Cl)? 26.29 Å³/atom